Entry 1:
Sn2Ir2Pd: relaxed, PBE.

Cell: 4.0017 4.0017 6.8067 Å, 72.91 72.91 90.00°
Last column: nearest neighbours and their distance in Å.
Fractional positions:
Sn 0.6110 0.6110 0.7779  4 Ir 2.64, 1 Sn 2.75
Sn 0.3890 0.3890 0.2221  4 Ir 2.64, 1 Sn 2.75
Pd 0.0000 0.0000 0.0000  8 Sn 3.15
Ir 0.2500 0.7500 0.5000  4 Sn 2.64, 4 Ir 2.83
Ir 0.7500 0.2500 0.5000  4 Sn 2.64, 4 Ir 2.83

Space group: I4/mmm
ΔH_f (0 K): 0.171 eV/atom
Crystal system: tetragonal
Size of the total moment: 0.000 μB per formula unit

Entry 2:
Sr2Sn4Ir3Pd: relaxed, PBE.

Cell: 4.6752 4.6752 10.5761 Å, 90.00 90.00 90.00°
Last column: nearest neighbours and their distance in Å.
Fractional positions:
Sn 0.0000 0.0000 0.0000  4 Ir 2.70
Sn 0.0000 0.5000 0.3759  3 Ir 2.63-2.68, 2 Pd 2.68
Sn 0.5000 0.0000 0.6241  3 Ir 2.63-2.68, 2 Pd 2.68
Sn 0.5000 0.5000 0.0000  4 Ir 2.70
Ir 0.0000 0.5000 0.1270  5 Sn 2.63-2.70
Ir 0.0000 0.0000 0.5000  4 Sn 2.68
Ir 0.5000 0.0000 0.8730  5 Sn 2.63-2.70
Pd 0.5000 0.5000 0.5000  4 Sn 2.68
Sr 0.5000 0.0000 0.2551  6 Ir 3.49-3.57, 2 Pd 3.49, 9 Sn 3.54-3.90
Sr 0.0000 0.5000 0.7449  6 Ir 3.49-3.57, 2 Pd 3.49, 9 Sn 3.54-3.90

Space group: P-4m2
ΔH_f (0 K): -0.526 eV/atom
Crystal system: tetragonal
Size of the total moment: 0.000 μB per formula unit

Entry 3:
Sr2Sn4IrPd3: relaxed, PBE.

Cell: 4.5462 4.5462 11.3158 Å, 90.00 90.00 90.00°
Last column: nearest neighbours and their distance in Å.
Fractional positions:
Sn 0.5000 0.5000 0.0000  4 Pd 2.75
Sn 0.0000 0.0000 0.0000  4 Pd 2.75
Sn 0.0000 0.5000 0.3749  2 Ir 2.68, 3 Pd 2.68-2.69
Sn 0.5000 0.0000 0.6251  3 Pd 2.68-2.69, 2 Ir 2.68
Sr 0.5000 0.0000 0.2536  6 Pd 3.47-3.60, 8 Sn 3.50-3.66, 2 Ir 3.60
Sr 0.0000 0.5000 0.7464  6 Pd 3.47-3.60, 8 Sn 3.50-3.66, 2 Ir 3.60
Ir 0.5000 0.5000 0.5000  4 Sn 2.68
Pd 0.0000 0.0000 0.5000  4 Sn 2.68
Pd 0.0000 0.5000 0.1372  5 Sn 2.69-2.75
Pd 0.5000 0.0000 0.8628  5 Sn 2.69-2.75

Space group: P-4m2
ΔH_f (0 K): -0.647 eV/atom
Crystal system: tetragonal
Size of the total moment: 0.000 μB per formula unit

Entry 4:
ThSnIrPd: relaxed, PBE.

Cell: 4.9156 4.9156 4.9156 Å, 60.00 60.00 60.00°
Last column: nearest neighbours and their distance in Å.
Fractional positions:
Pd 0.0000 0.0000 0.0000  4 Sn 3.01, 4 Th 3.01
Ir 0.5000 0.5000 0.5000  4 Th 3.01, 4 Sn 3.01
Sn 0.2500 0.2500 0.2500  4 Ir 3.01, 4 Pd 3.01
Th 0.7500 0.7500 0.7500  4 Ir 3.01, 4 Pd 3.01

Space group: F-43m
ΔH_f (0 K): -0.630 eV/atom
Crystal system: cubic
Size of the total moment: 0.000 μB per formula unit

Entry 5:
TlSn2IrPd: relaxed, PBE.

Cell: 5.5492 5.5492 5.0122 Å, 90.00 90.00 90.00°
Last column: nearest neighbours and their distance in Å.
Fractional positions:
Pd 0.5000 0.5000 0.5000  8 Sn 3.74, 4 Ir 3.92
Sn 0.0000 0.5000 0.0000  2 Tl 2.77
Sn 0.5000 0.0000 0.0000  2 Tl 2.77
Ir 0.0000 0.0000 0.5000  2 Tl 2.51
Tl 0.0000 0.0000 0.0000  2 Ir 2.51, 4 Sn 2.77

Space group: P4/mmm
ΔH_f (0 K): 1.444 eV/atom
Crystal system: tetragonal
Size of the total moment: 0.709 μB per formula unit

Entry 6:
TmSnIrPd: relaxed, PBE.

Cell: 4.7230 4.7230 4.7230 Å, 60.00 60.00 60.00°
Last column: nearest neighbours and their distance in Å.
Fractional positions:
Tm 0.7500 0.7500 0.7500  4 Pd 2.89, 4 Ir 2.89
Pd 0.0000 0.0000 0.0000  4 Sn 2.89, 4 Tm 2.89
Sn 0.2500 0.2500 0.2500  4 Ir 2.89, 4 Pd 2.89
Ir 0.5000 0.5000 0.5000  4 Sn 2.89, 4 Tm 2.89

Space group: F-43m
ΔH_f (0 K): -0.732 eV/atom
Crystal system: cubic
Size of the total moment: 0.000 μB per formula unit

Entry 7:
USnIrPd: relaxed, PBE.

Cell: 4.7947 4.7947 4.7947 Å, 60.00 60.00 60.00°
Last column: nearest neighbours and their distance in Å.
Fractional positions:
U 0.0000 0.0000 0.0000  4 Ir 2.94, 4 Pd 2.94
Ir 0.2500 0.2500 0.2500  4 Sn 2.94, 4 U 2.94
Pd 0.7500 0.7500 0.7500  4 U 2.94, 4 Sn 2.94
Sn 0.5000 0.5000 0.5000  4 Ir 2.94, 4 Pd 2.94

Space group: F-43m
ΔH_f (0 K): -0.367 eV/atom
Crystal system: cubic
Size of the total moment: 1.843 μB per formula unit

Entry 8:
SnIrPd2W: relaxed, PBE.

Cell: 4.8817 4.7640 4.8817 Å, 90.00 90.00 90.00°
Last column: nearest neighbours and their distance in Å.
Fractional positions:
W 0.0000 0.0000 0.0000  2 Ir 2.38, 4 Pd 2.44
Ir 0.0000 0.5000 0.0000  2 W 2.38
Sn 0.5000 0.5000 0.5000  8 Pd 3.41, 4 Ir 3.45
Pd 0.0000 0.0000 0.5000  2 W 2.44
Pd 0.5000 0.0000 0.0000  2 W 2.44

Space group: P4/mmm
ΔH_f (0 K): 1.027 eV/atom
Crystal system: tetragonal
Size of the total moment: 0.000 μB per formula unit

Entry 9:
SrIrPd2: relaxed, PBE.

Cell: 4.7493 4.7493 4.7493 Å, 60.00 60.00 60.00°
Last column: nearest neighbours and their distance in Å.
Fractional positions:
Ir 0.5000 0.5000 0.5000  8 Pd 2.91
Pd 0.7500 0.7500 0.7500  4 Ir 2.91, 4 Sr 2.91
Pd 0.2500 0.2500 0.2500  4 Ir 2.91, 4 Sr 2.91
Sr 0.0000 0.0000 0.0000  8 Pd 2.91

Space group: Fm-3m
ΔH_f (0 K): 0.118 eV/atom
Crystal system: cubic
Size of the total moment: 0.641 μB per formula unit

Entry 10:
Sr4IrPd: relaxed, PBE.

Cell: 6.8023 8.1131 8.1131 Å, 113.45 97.88 97.88°
Last column: nearest neighbours and their distance in Å.
Fractional positions:
Sr 0.4337 0.7688 0.6347  2 Ir 3.10-3.33, 2 Pd 3.25-3.29
Sr 0.0663 0.3653 0.2312  2 Ir 3.10-3.33, 2 Pd 3.25-3.29
Sr 0.9337 0.6347 0.7688  2 Ir 3.10-3.33, 2 Pd 3.25-3.29
Sr 0.4690 0.7275 0.0735  2 Ir 3.02, 1 Pd 3.27
Sr 0.5310 0.2725 0.9265  2 Ir 3.02, 1 Pd 3.27
Sr 0.9690 0.0735 0.7275  2 Ir 3.02, 1 Pd 3.27
Sr 0.0310 0.9265 0.2725  2 Ir 3.02, 1 Pd 3.27
Sr 0.5663 0.2312 0.3653  2 Ir 3.10-3.33, 2 Pd 3.25-3.29
Ir 0.7500 0.0005 0.9995  8 Sr 3.02-3.33
Ir 0.2500 0.9995 0.0005  8 Sr 3.02-3.33
Pd 0.2500 0.3694 0.6306  8 Sr 3.25-3.55
Pd 0.7500 0.6306 0.3694  8 Sr 3.25-3.55

Space group: C2/c
ΔH_f (0 K): -0.290 eV/atom
Crystal system: monoclinic
Size of the total moment: 0.000 μB per formula unit

Entry 11:
Sr5IrPd: relaxed, PBE.

Cell: 7.3349 7.3349 11.7066 Å, 107.78 107.78 80.34°
Last column: nearest neighbours and their distance in Å.
Fractional positions:
Pd 0.0836 0.4164 0.7500  5 Sr 3.00-3.16
Pd 0.9164 0.5836 0.2500  5 Sr 3.00-3.16
Sr 0.5654 0.7268 0.3591  1 Ir 2.85, 1 Pd 3.11
Sr 0.1445 0.7277 0.5156  1 Ir 2.88, 1 Pd 3.00
Sr 0.2277 0.6445 0.0156  1 Ir 2.88, 1 Pd 3.00
Sr 0.7732 0.9346 0.1409  1 Ir 2.85, 1 Pd 3.11
Sr 0.7723 0.3555 0.9844  1 Ir 2.88, 1 Pd 3.00
Sr 0.7496 0.7504 0.7500  2 Ir 3.14, 1 Pd 3.16
Sr 0.8555 0.2723 0.4844  1 Ir 2.88, 1 Pd 3.00
Sr 0.2268 0.0654 0.8591  1 Ir 2.85, 1 Pd 3.11
Sr 0.4346 0.2732 0.6409  1 Ir 2.85, 1 Pd 3.11
Sr 0.2504 0.2496 0.2500  2 Ir 3.14, 1 Pd 3.16
Ir 0.0000 0.0000 0.0000  6 Sr 2.85-3.14
Ir 0.5000 0.5000 0.5000  6 Sr 2.85-3.14

Space group: C2/c
ΔH_f (0 K): -0.177 eV/atom
Crystal system: monoclinic
Size of the total moment: 0.000 μB per formula unit

Entry 12:
SrIr2Pd2: relaxed, PBE.

Cell: 4.3301 4.3301 6.1801 Å, 69.49 69.49 90.00°
Last column: nearest neighbours and their distance in Å.
Fractional positions:
Pd 0.2500 0.7500 0.5000  4 Ir 2.65
Pd 0.7500 0.2500 0.5000  4 Ir 2.65
Ir 0.3924 0.3924 0.2152  1 Ir 2.31
Ir 0.6076 0.6076 0.7848  1 Ir 2.31
Sr 0.0000 0.0000 0.0000  8 Ir 3.27, 8 Pd 3.45

Space group: I4/mmm
ΔH_f (0 K): 0.000 eV/atom
Crystal system: tetragonal
Size of the total moment: 0.000 μB per formula unit

What did the fourth record say?
ThSnIrPd: relaxed, PBE.

Cell: 4.9156 4.9156 4.9156 Å, 60.00 60.00 60.00°
Last column: nearest neighbours and their distance in Å.
Fractional positions:
Pd 0.0000 0.0000 0.0000  4 Sn 3.01, 4 Th 3.01
Ir 0.5000 0.5000 0.5000  4 Th 3.01, 4 Sn 3.01
Sn 0.2500 0.2500 0.2500  4 Ir 3.01, 4 Pd 3.01
Th 0.7500 0.7500 0.7500  4 Ir 3.01, 4 Pd 3.01

Space group: F-43m
ΔH_f (0 K): -0.630 eV/atom
Crystal system: cubic
Size of the total moment: 0.000 μB per formula unit

Q: What is the ΔH_f (0 K) in the sixth record?
A: -0.732 eV/atom